7
Lattice="-1.5564 4.9710 0.7019 -1.8476 1.5404 4.6733 7.4166 4.4779 4.4119" Properties=species:S:1:pos:R:3 comment="Ca4InGa2 | Alexandria via LeMat-Bulk | GGA-PBE | relaxed" magnetic_moment_mub_per_fu=0.00 e_form_mev_per_atom=-312 spacegroup="R-3m (166)" n_ef_per_ev_atom=0.582 relative_energy_mev_per_atom=46.4 pbc="T T T"
Ca 4.9429 6.2871 5.7934
Ca 2.1389 3.0538 2.7948
Ca 1.8737 7.9356 6.9923
Ca -0.9304 4.7022 3.9937
In 0.0000 0.0000 0.0000
Ga 4.9646 3.8163 3.6606
Ga -0.9521 7.1730 6.1265